# 1
# Ba8Al | Alexandria | meta-GGA SCAN | PBEsol geometry
data_Ba8Al
_symmetry_space_group_name_H-M 'I 4/m m m'
_symmetry_Int_Tables_number 139
_symmetry_space_group_name_Hall '-I 4 2'
_cell_length_a 14.352
_cell_length_b 14.352
_cell_length_c 4.520
_cell_angle_alpha 90.00
_cell_angle_beta 90.00
_cell_angle_gamma 90.00
loop_
_atom_site_label
_atom_site_fract_x
_atom_site_fract_y
_atom_site_fract_z
Ba1 0.000 0.334 0.000
Ba2 0.140 0.140 0.500
Al1 0.000 0.000 0.000
# - density (g/cm³) = 4.01
# - D(E_F) (states/eV/cell) = 20.68
# - energy of formation (kJ/mol of formula units) = 30.4

***

# 2
# Hf2CoSi2 | Alexandria | meta-GGA SCAN | PBEsol geometry
data_Hf2CoSi2
_symmetry_space_group_name_H-M 'P 4/m b m'
_symmetry_Int_Tables_number 127
_symmetry_space_group_name_Hall '-P 4 2ab'
_cell_length_a 6.058
_cell_length_b 6.058
_cell_length_c 4.122
_cell_angle_alpha 90.00
_cell_angle_beta 90.00
_cell_angle_gamma 90.00
loop_
_atom_site_label
_atom_site_fract_x
_atom_site_fract_y
_atom_site_fract_z
Hf1 0.170 0.330 0.000
Co1 0.000 0.000 0.500
Si1 0.140 0.640 0.500
# - density (g/cm³) = 10.36
# - D(E_F) (states/eV/cell) = 5.01
# - formation energy from raw total energies (kcal/mol of atoms) = -16.889

***

# 3
# K3NbBi | Alexandria | meta-GGA SCAN | PBEsol geometry
data_K3NbBi
_symmetry_space_group_name_H-M 'P m -3 m'
_symmetry_Int_Tables_number 221
_symmetry_space_group_name_Hall '-P 4 2 3'
_cell_length_a 6.623
_cell_length_b 6.623
_cell_length_c 6.623
_cell_angle_alpha 90.00
_cell_angle_beta 90.00
_cell_angle_gamma 90.00
loop_
_atom_site_label
_atom_site_fract_x
_atom_site_fract_y
_atom_site_fract_z
K1 0.000 0.000 0.500
Nb1 0.500 0.500 0.500
Bi1 0.000 0.000 0.000
# - density (g/cm³) = 2.40
# - D(E_F) (states/eV/cell) = 9.98
# - energy of formation (kJ/mol of formula units) = 430.7

***

# 4
# BaCaY | Alexandria | meta-GGA SCAN | PBEsol geometry
data_BaCaY
_symmetry_space_group_name_H-M 'P 3 m 1'
_symmetry_Int_Tables_number 156
_symmetry_space_group_name_Hall 'P 3 -2"'
_cell_length_a 6.1353
_cell_length_b 6.1353
_cell_length_c 3.6619
_cell_angle_alpha 90.00
_cell_angle_beta 90.00
_cell_angle_gamma 120.00
loop_
_atom_site_label
_atom_site_fract_x
_atom_site_fract_y
_atom_site_fract_z
Ba1 0.0000 0.0000 0.0000
Ca1 0.6667 0.3333 0.6840
Y1 0.3333 0.6667 0.3247
# - density (g/cm³) = 3.70
# - D(E_F) (states/eV/cell) = 3.43
# - energy of formation (kJ/mol of formula units) = 64.7

***

# 5
# LaCN2F | Alexandria | meta-GGA SCAN | PBEsol geometry
data_LaCN2F
_symmetry_space_group_name_H-M 'C m c m'
_symmetry_Int_Tables_number 63
_symmetry_space_group_name_Hall '-C 2c 2'
_cell_length_a 3.830
_cell_length_b 8.684
_cell_length_c 7.753
_cell_angle_alpha 90.00
_cell_angle_beta 90.00
_cell_angle_gamma 90.00
loop_
_atom_site_label
_atom_site_fract_x
_atom_site_fract_y
_atom_site_fract_z
La1 0.000 0.224 0.250
C1 0.000 0.500 0.000
N1 0.000 0.367 0.553
F1 0.000 0.081 0.750
# - density (g/cm³) = 5.10
# - D(E_F) (states/eV/cell) = 0.00
# - formation energy from raw total energies (kcal/mol of atoms) = -44.224

***

# 6
# CdTe | Alexandria | meta-GGA SCAN | PBEsol geometry
data_CdTe
_symmetry_space_group_name_H-M 'F -4 3 m'
_symmetry_Int_Tables_number 216
_symmetry_space_group_name_Hall 'F -4 2 3'
_cell_length_a 6.485
_cell_length_b 6.485
_cell_length_c 6.485
_cell_angle_alpha 90.00
_cell_angle_beta 90.00
_cell_angle_gamma 90.00
loop_
_atom_site_label
_atom_site_fract_x
_atom_site_fract_y
_atom_site_fract_z
Cd1 0.000 0.000 0.000
Te1 0.250 0.250 0.250
# - density (g/cm³) = 5.85
# - formation energy from raw total energies (kcal/mol of atoms) = -11.268

***

# 7
# TiSb2HRu | Alexandria | meta-GGA SCAN | PBEsol geometry
data_TiSb2HRu
_symmetry_space_group_name_H-M 'P 4/m m m'
_symmetry_Int_Tables_number 123
_symmetry_space_group_name_Hall '-P 4 2'
_cell_length_a 5.157
_cell_length_b 5.157
_cell_length_c 3.246
_cell_angle_alpha 90.00
_cell_angle_beta 90.00
_cell_angle_gamma 90.00
loop_
_atom_site_label
_atom_site_fract_x
_atom_site_fract_y
_atom_site_fract_z
Ti1 0.000 0.000 0.000
Sb1 0.000 0.500 0.500
H1 0.500 0.500 0.000
Ru1 0.500 0.500 0.500
# - density (g/cm³) = 7.57
# - D(E_F) (states/eV/cell) = 3.00
# - uncorrected energy (eV/atom) = -25.589

***

# 8
# La2CoIrO6 | Alexandria | meta-GGA SCAN | PBEsol geometry
data_La2CoIrO6
_symmetry_space_group_name_H-M 'P 1 21/c 1'
_symmetry_Int_Tables_number 14
_symmetry_space_group_name_Hall '-P 2ybc'
_cell_length_a 5.434
_cell_length_b 5.576
_cell_length_c 9.439
_cell_angle_alpha 90.00
_cell_angle_beta 124.90
_cell_angle_gamma 90.00
loop_
_atom_site_label
_atom_site_fract_x
_atom_site_fract_y
_atom_site_fract_z
La1 0.237 0.057 0.249
Co1 0.000 0.000 0.500
Ir1 0.500 0.000 0.000
O1 0.148 0.210 0.955
O2 0.248 0.697 0.955
O3 0.329 0.014 0.742
# - density (g/cm³) = 8.85
# - formation energy from raw total energies (kcal/mol of atoms) = -56.628

***

# 9
# Cu2Te | Alexandria | meta-GGA SCAN | PBEsol geometry
data_Cu2Te
_symmetry_space_group_name_H-M 'P 63/m m c'
_symmetry_Int_Tables_number 194
_symmetry_space_group_name_Hall '-P 6c 2c'
_cell_length_a 4.1439
_cell_length_b 4.1439
_cell_length_c 7.5096
_cell_angle_alpha 90.00
_cell_angle_beta 90.00
_cell_angle_gamma 120.00
loop_
_atom_site_label
_atom_site_fract_x
_atom_site_fract_y
_atom_site_fract_z
Cu1 0.3333 0.6667 0.0882
Te1 0.3333 0.6667 0.7500
# - density (g/cm³) = 7.57
# - D(E_F) (states/eV/cell) = 0.29
# - formation energy from raw total energies (kcal/mol of atoms) = 0.613

***

# 10
# ScFe2Pb | Alexandria | meta-GGA SCAN | PBEsol geometry
data_ScFe2Pb
_symmetry_space_group_name_H-M 'P 4/m m m'
_symmetry_Int_Tables_number 123
_symmetry_space_group_name_Hall '-P 4 2'
_cell_length_a 3.365
_cell_length_b 3.365
_cell_length_c 5.933
_cell_angle_alpha 90.00
_cell_angle_beta 90.00
_cell_angle_gamma 90.00
loop_
_atom_site_label
_atom_site_fract_x
_atom_site_fract_y
_atom_site_fract_z
Sc1 0.000 0.000 0.000
Fe1 0.500 0.500 0.209
Pb1 0.000 0.000 0.500
# - density (g/cm³) = 8.99
# - D(E_F) (states/eV/cell) = 4.25
# - energy of formation (kJ/mol of formula units) = 65.8

***

# 11
# LiHg2Se | Alexandria | meta-GGA SCAN | PBEsol geometry
data_LiHg2Se
_symmetry_space_group_name_H-M 'C m m m'
_symmetry_Int_Tables_number 65
_symmetry_space_group_name_Hall '-C 2 2'
_cell_length_a 5.315
_cell_length_b 10.823
_cell_length_c 3.116
_cell_angle_alpha 90.00
_cell_angle_beta 90.00
_cell_angle_gamma 90.00
loop_
_atom_site_label
_atom_site_fract_x
_atom_site_fract_y
_atom_site_fract_z
Li1 0.000 0.000 0.000
Hg1 0.250 0.250 0.500
Se1 0.000 0.500 0.000
# - density (g/cm³) = 9.02
# - D(E_F) (states/eV/cell) = 2.48
# - formation energy from raw total energies (kcal/mol of atoms) = -5.578

***

# 12
# K2CrAs | Alexandria | meta-GGA SCAN | PBEsol geometry
data_K2CrAs
_symmetry_space_group_name_H-M 'P 4 m m'
_symmetry_Int_Tables_number 99
_symmetry_space_group_name_Hall 'P 4 -2'
_cell_length_a 3.572
_cell_length_b 3.572
_cell_length_c 9.907
_cell_angle_alpha 90.00
_cell_angle_beta 90.00
_cell_angle_gamma 90.00
loop_
_atom_site_label
_atom_site_fract_x
_atom_site_fract_y
_atom_site_fract_z
K1 0.000 0.000 0.000
K2 0.500 0.500 0.406
Cr1 0.500 0.500 0.721
As1 0.000 0.000 0.663
# - density (g/cm³) = 2.69
# - D(E_F) (states/eV/cell) = 1.07
# - energy of formation (kJ/mol of formula units) = -46.4

***

# 13
# Sb2MoBr | Alexandria | meta-GGA SCAN | PBEsol geometry
data_Sb2MoBr
_symmetry_space_group_name_H-M 'R 3 m'
_symmetry_Int_Tables_number 160
_symmetry_space_group_name_Hall 'R 3 -2"'
_cell_length_a 3.3434
_cell_length_b 3.3434
_cell_length_c 27.9899
_cell_angle_alpha 90.00
_cell_angle_beta 90.00
_cell_angle_gamma 120.00
loop_
_atom_site_label
_atom_site_fract_x
_atom_site_fract_y
_atom_site_fract_z
Sb1 0.0000 0.0000 0.0000
Sb2 0.0000 0.0000 0.2433
Mo1 0.0000 0.0000 0.5077
Br1 0.0000 0.0000 0.7778
# - density (g/cm³) = 7.71
# - D(E_F) (states/eV/cell) = 12.59
# - formation energy from raw total energies (kcal/mol of atoms) = 4.875

***

# 14
# BeCu3Mo | Alexandria | meta-GGA SCAN | PBEsol geometry
data_BeCu3Mo
_symmetry_space_group_name_H-M 'P m -3 m'
_symmetry_Int_Tables_number 221
_symmetry_space_group_name_Hall '-P 4 2 3'
_cell_length_a 3.911
_cell_length_b 3.911
_cell_length_c 3.911
_cell_angle_alpha 90.00
_cell_angle_beta 90.00
_cell_angle_gamma 90.00
loop_
_atom_site_label
_atom_site_fract_x
_atom_site_fract_y
_atom_site_fract_z
Be1 0.000 0.000 0.000
Cu1 0.000 0.000 0.500
Mo1 0.500 0.500 0.500
# - density (g/cm³) = 8.21
# - D(E_F) (states/eV/cell) = 1.98
# - energy of formation (kJ/mol of formula units) = 285.4

***

# 15
# RbNb2Fe | Alexandria | meta-GGA SCAN | PBEsol geometry
data_RbNb2Fe
_symmetry_space_group_name_H-M 'F m -3 m'
_symmetry_Int_Tables_number 225
_symmetry_space_group_name_Hall '-F 4 2 3'
_cell_length_a 6.536
_cell_length_b 6.536
_cell_length_c 6.536
_cell_angle_alpha 90.00
_cell_angle_beta 90.00
_cell_angle_gamma 90.00
loop_
_atom_site_label
_atom_site_fract_x
_atom_site_fract_y
_atom_site_fract_z
Rb1 0.000 0.000 0.000
Nb1 0.250 0.250 0.250
Fe1 0.000 0.000 0.500
# - density (g/cm³) = 7.78
# - D(E_F) (states/eV/cell) = 13.97
# - energy of formation (kJ/mol of formula units) = 617.2

***

# 16
# Bi2Pb2I | Alexandria | meta-GGA SCAN | PBEsol geometry
data_Bi2Pb2I
_symmetry_space_group_name_H-M 'I 4/m m m'
_symmetry_Int_Tables_number 139
_symmetry_space_group_name_Hall '-I 4 2'
_cell_length_a 4.690
_cell_length_b 4.690
_cell_length_c 15.751
_cell_angle_alpha 90.00
_cell_angle_beta 90.00
_cell_angle_gamma 90.00
loop_
_atom_site_label
_atom_site_fract_x
_atom_site_fract_y
_atom_site_fract_z
Bi1 0.000 0.500 0.250
Pb1 0.000 0.000 0.108
I1 0.000 0.000 0.500
# - density (g/cm³) = 9.19
# - D(E_F) (states/eV/cell) = 2.39
# - formation energy from raw total energies (kcal/mol of atoms) = -2.891

***

# 17
# Cu2BrCl | Alexandria | meta-GGA SCAN | PBEsol geometry
data_Cu2BrCl
_symmetry_space_group_name_H-M 'C 1 m 1'
_symmetry_Int_Tables_number 8
_symmetry_space_group_name_Hall 'C -2y'
_cell_length_a 6.511
_cell_length_b 3.764
_cell_length_c 6.444
_cell_angle_alpha 90.00
_cell_angle_beta 90.08
_cell_angle_gamma 90.00
loop_
_atom_site_label
_atom_site_fract_x
_atom_site_fract_y
_atom_site_fract_z
Cu1 0.000 0.000 0.000
Cu2 0.167 0.500 0.235
Br1 0.333 0.000 0.833
Cl1 0.001 0.000 0.356
# - density (g/cm³) = 5.10
# - formation energy from raw total energies (kcal/mol of atoms) = -7.866

***

# 18
# In2FeAu | Alexandria | meta-GGA SCAN | PBEsol geometry
data_In2FeAu
_symmetry_space_group_name_H-M 'F -4 3 m'
_symmetry_Int_Tables_number 216
_symmetry_space_group_name_Hall 'F -4 2 3'
_cell_length_a 6.605
_cell_length_b 6.605
_cell_length_c 6.605
_cell_angle_alpha 90.00
_cell_angle_beta 90.00
_cell_angle_gamma 90.00
loop_
_atom_site_label
_atom_site_fract_x
_atom_site_fract_y
_atom_site_fract_z
In1 0.000 0.000 0.000
In2 0.250 0.250 0.250
Fe1 0.000 0.000 0.500
Au1 0.250 0.250 0.750
# - density (g/cm³) = 11.12
# - D(E_F) (states/eV/cell) = 9.84
# - energy of formation (kJ/mol of formula units) = 99.3

***

# 19
# MgBeRe2 | Alexandria | meta-GGA SCAN | PBEsol geometry
data_MgBeRe2
_symmetry_space_group_name_H-M 'P m m m'
_symmetry_Int_Tables_number 47
_symmetry_space_group_name_Hall '-P 2 2'
_cell_length_a 2.572
_cell_length_b 4.151
_cell_length_c 5.245
_cell_angle_alpha 90.00
_cell_angle_beta 90.00
_cell_angle_gamma 90.00
loop_
_atom_site_label
_atom_site_fract_x
_atom_site_fract_y
_atom_site_fract_z
Mg1 0.000 0.000 0.000
Be1 0.000 0.000 0.500
Re1 0.500 0.500 0.262
# - density (g/cm³) = 12.03
# - D(E_F) (states/eV/cell) = 1.96
# - energy of formation (kJ/mol of formula units) = 131.9

***

# 20
# Cu2Pt | Alexandria | meta-GGA SCAN | PBEsol geometry
data_Cu2Pt
_symmetry_space_group_name_H-M 'P -6 2 m'
_symmetry_Int_Tables_number 189
_symmetry_space_group_name_Hall 'P -6 -2'
_cell_length_a 7.1680
_cell_length_b 7.1680
_cell_length_c 2.6350
_cell_angle_alpha 90.00
_cell_angle_beta 90.00
_cell_angle_gamma 120.00
loop_
_atom_site_label
_atom_site_fract_x
_atom_site_fract_y
_atom_site_fract_z
Cu1 0.0000 0.3046 0.0000
Cu2 0.0000 0.6357 0.5000
Pt1 0.0000 0.0000 0.5000
Pt2 0.3333 0.6667 0.0000
# - density (g/cm³) = 13.69
# - D(E_F) (states/eV/cell) = 3.73
# - energy of formation (kJ/mol of formula units) = -20.6